A:
## Pr3Nd4Sc2 (GGA-PBE)

Data for an optimized crystal structure of Pr3Nd4Sc2.

Cell lengths 3.5931, 3.5931, 26.8369 Å; angles 90.00, 90.00, 120.00 degrees
Space group P3m1 (No. 156)
Unique sites:
Pr: 0.0000 0.0000 0.0000 (multiplicity 1)
Pr: 0.0000 0.0000 0.3324 (multiplicity 1)
Pr: 0.6667 0.3333 0.6771 (multiplicity 1)
Nd: 0.0000 0.0000 0.5623 (multiplicity 1)
Nd: 0.0000 0.0000 0.7941 (multiplicity 1)
Nd: 0.6667 0.3333 0.2213 (multiplicity 1)
Nd: 0.6667 0.3333 0.4493 (multiplicity 1)
Sc: 0.6667 0.3333 0.1011 (multiplicity 1)
Sc: 0.6667 0.3333 0.8946 (multiplicity 1)

- Theoretical density: 6.03 Mg/m³
- Magnetic moment: 0.000 μB per atom

***

B:
## Pr3Nd4Sc2 (GGA-PBE)

Data for an optimized crystal structure of Pr3Nd4Sc2.

Cell lengths 12.780, 3.667, 14.272 Å; angles 90.00, 114.61, 90.00 degrees
Space group C2/m (No. 12)
Unique sites:
Pr: 0.000 0.000 0.000 (multiplicity 2)
Pr: 0.016 0.000 0.390 (multiplicity 4)
Nd: 0.217 0.000 0.871 (multiplicity 4)
Nd: 0.227 0.500 0.628 (multiplicity 4)
Sc: 0.046 0.500 0.205 (multiplicity 4)

- Theoretical density: 5.95 Mg/m³
- Magnetic moment: 0.000 μB per atom

***

The most stable of them is B.

***

A:
## Pr5Nd4Sc2 (GGA-PBE)

Data for an optimized crystal structure of Pr5Nd4Sc2.

Cell lengths 24.160, 3.563, 8.765 Å; angles 90.00, 94.45, 90.00 degrees
Space group C2/m (No. 12)
Unique sites:
Pr: 0.000 0.000 0.000 (multiplicity 2)
Pr: 0.130 0.500 0.039 (multiplicity 4)
Pr: 0.180 0.500 0.478 (multiplicity 4)
Nd: 0.038 0.500 0.350 (multiplicity 4)
Nd: 0.226 0.000 0.824 (multiplicity 4)
Sc: 0.087 0.000 0.696 (multiplicity 4)

- Theoretical density: 6.06 Mg/m³
- Magnetic moment: 0.000 μB per atom

***

B:
## Pr5Nd4Sc2 (GGA-PBE)

Data for an optimized crystal structure of Pr5Nd4Sc2.

Cell lengths 3.506, 9.778, 22.469 Å; angles 90.00, 90.00, 90.00 degrees
Space group Immm (No. 71)
Unique sites:
Pr: 0.000 0.000 0.000 (multiplicity 2)
Pr: 0.000 0.284 0.341 (multiplicity 8)
Nd: 0.000 0.205 0.500 (multiplicity 4)
Nd: 0.000 0.500 0.097 (multiplicity 4)
Sc: 0.000 0.500 0.231 (multiplicity 4)

- Theoretical density: 5.91 Mg/m³
- Magnetic moment: 0.000 μB per atom

***

The most stable of them is A.

***

A:
## Pr6NdSc (GGA-PBE)

Data for an optimized crystal structure of Pr6NdSc.

Cell lengths 9.142, 7.288, 9.389 Å; angles 90.00, 105.81, 90.00 degrees
Space group C2/m (No. 12)
Unique sites:
Pr: 0.135 0.000 0.426 (multiplicity 4)
Pr: 0.204 0.242 0.794 (multiplicity 8)
Nd: 0.000 0.000 0.000 (multiplicity 2)
Sc: 0.000 0.500 0.500 (multiplicity 2)

- Theoretical density: 5.71 Mg/m³
- Magnetic moment: 0.000 μB per atom

***

B:
## Pr6NdSc (GGA-PBE)

Data for an optimized crystal structure of Pr6NdSc.

Cell lengths 5.164, 5.164, 10.341 Å; angles 90.00, 90.00, 90.00 degrees
Space group P4/mmm (No. 123)
Unique sites:
Pr: 0.000 0.000 0.000 (multiplicity 1)
Pr: 0.000 0.000 0.500 (multiplicity 1)
Pr: 0.000 0.500 0.243 (multiplicity 4)
Nd: 0.500 0.500 0.500 (multiplicity 1)
Sc: 0.500 0.500 0.000 (multiplicity 1)

- Theoretical density: 6.23 Mg/m³
- Magnetic moment: 0.000 μB per atom

***

The most stable of them is B.

***

A:
## Pr4Nd5Sc (GGA-PBE)

Data for an optimized crystal structure of Pr4Nd5Sc.

Cell lengths 3.686, 3.686, 25.510 Å; angles 90.00, 90.00, 90.00 degrees
Space group P4/mmm (No. 123)
Unique sites:
Pr: 0.000 0.000 0.103 (multiplicity 2)
Pr: 0.000 0.000 0.309 (multiplicity 2)
Nd: 0.500 0.500 0.000 (multiplicity 1)
Nd: 0.500 0.500 0.206 (multiplicity 2)
Nd: 0.500 0.500 0.411 (multiplicity 2)
Sc: 0.000 0.000 0.500 (multiplicity 1)

- Theoretical density: 6.37 Mg/m³
- Magnetic moment: 0.000 μB per atom

***

B:
## Pr4Nd5Sc (GGA-PBE)

Data for an optimized crystal structure of Pr4Nd5Sc.

Cell lengths 18.109, 3.557, 11.309 Å; angles 90.00, 107.62, 90.00 degrees
Space group C2/m (No. 12)
Unique sites:
Pr: 0.089 0.000 0.308 (multiplicity 4)
Pr: 0.195 0.500 0.584 (multiplicity 4)
Nd: 0.000 0.500 0.000 (multiplicity 2)
Nd: 0.105 0.000 0.784 (multiplicity 4)
Nd: 0.206 0.000 0.098 (multiplicity 4)
Sc: 0.000 0.500 0.500 (multiplicity 2)

- Theoretical density: 6.36 Mg/m³
- Magnetic moment: 0.000 μB per atom

***

The most stable of them is A.

***

A:
## Pr2Nd3Sc (GGA-PBE)

Data for an optimized crystal structure of Pr2Nd3Sc.

Cell lengths 6.775, 17.765, 3.416 Å; angles 90.00, 90.00, 90.00 degrees
Space group Pnnm (No. 58)
Unique sites:
Pr: 0.250 0.147 0.000 (multiplicity 4)
Nd: 0.000 0.000 0.500 (multiplicity 2)
Nd: 0.246 0.822 0.000 (multiplicity 4)
Sc: 0.000 0.500 0.500 (multiplicity 2)

- Theoretical density: 6.13 Mg/m³
- Magnetic moment: 0.000 μB per atom

***

B:
## Pr2Nd3Sc (GGA-PBE)

Data for an optimized crystal structure of Pr2Nd3Sc.

Cell lengths 6.258, 8.098, 8.884 Å; angles 111.44, 90.25, 104.74 degrees
Space group P-1 (No. 2)
Unique sites:
Pr: 0.051 0.383 0.298 (multiplicity 2)
Pr: 0.297 0.623 0.040 (multiplicity 2)
Nd: 0.125 0.125 0.872 (multiplicity 2)
Nd: 0.209 0.877 0.458 (multiplicity 2)
Nd: 0.461 0.138 0.217 (multiplicity 2)
Sc: 0.376 0.375 0.621 (multiplicity 2)

- Theoretical density: 6.26 Mg/m³
- Magnetic moment: 0.000 μB per atom

***

The most stable of them is B.